Below is AcCe2SiO8 after structural relaxation, with properties calculated at the PBE level.

Cell: 5.1576 5.1576 6.8248 Å, 90.00 90.00 120.00°
Fractional coordinates of all 12 atoms:
O 0.8401 0.1599 0.8457
O 0.1599 0.3199 0.1543
O 0.8401 0.6801 0.8457
O 0.6801 0.8401 0.1543
O 0.3199 0.1599 0.8457
O 0.3333 0.6667 0.5747
O 0.6667 0.3333 0.4253
O 0.1599 0.8401 0.1543
Si 0.0000 0.0000 0.0000
Ce 0.6667 0.3333 0.1373
Ce 0.3333 0.6667 0.8627
Ac 0.0000 0.0000 0.5000

Results
magnetic moment	0.63	Bohr magnetons per cell
formation energy from raw total energies	-2839	meV per atom
E	-7.93	eV/atom